{
  "formula": "YCd2Se",
  "functional": "PBE",
  "state": "relaxed",
  "e_form_raw_ev_per_atom": -0.52,
  "energy_ev_per_atom": -3.46,
  "magmom_total_mub_per_fu": 0.00,
  "spacegroup": "No. 122",
  "lattice_angstrom": [[-3.950, -7.495, 1.180], [5.027, -3.581, -5.923], [2.419, -6.214, -0.367]],
  "species": ["Cd", "Cd", "Cd", "Cd", "Y", "Y", "Se", "Se"],
  "frac_coords": [[0.375, 0.403, 0.750], [0.875, 0.847, 0.750], [0.597, 0.125, 0.250], [0.153, 0.625, 0.250], [0.750, 0.250, 0.500], [0.000, 0.000, 0.000], [0.500, 0.500, 0.000], [0.250, 0.750, 0.500]]
}